[1]
## MgInIrPb (PBE)

Data for a relaxed structure of MgInIrPb.

Cell lengths 6.8621, 6.8621, 6.8621 Å; angles 90.00, 90.00, 90.00 degrees
Element x y z (fractional)
Mg: 0.0000 0.0000 0.0000
Mg: 0.0000 0.5000 0.5000
Mg: 0.5000 0.0000 0.5000
Mg: 0.5000 0.5000 0.0000
In: 0.2500 0.2500 0.7500
In: 0.2500 0.7500 0.2500
In: 0.7500 0.2500 0.2500
In: 0.7500 0.7500 0.7500
Ir: 0.0000 0.0000 0.5000
Ir: 0.0000 0.5000 0.0000
Ir: 0.5000 0.0000 0.0000
Ir: 0.5000 0.5000 0.5000
Pb: 0.2500 0.2500 0.2500
Pb: 0.2500 0.7500 0.7500
Pb: 0.7500 0.2500 0.7500
Pb: 0.7500 0.7500 0.2500

**Polymorph energy (0 for the lowest one)**: 0.00 kcal/mol of atoms



[2]
## Y2TmIn3CuPd2 (PBE)

Data for a relaxed structure of Y2TmIn3CuPd2.

Cell lengths 3.7382, 7.7346, 7.7346 Å; angles 119.77, 90.00, 90.00 degrees
Element x y z (fractional)
Y: 0.0000 0.2040 0.7960
Y: 0.0000 0.7960 0.2040
Tm: 0.0000 0.6124 0.6124
In: 0.5000 0.2046 0.4598
In: 0.5000 0.4598 0.2046
In: 0.5000 0.9487 0.9487
Cu: 0.0000 0.2053 0.2053
Pd: 0.5000 0.5385 0.8665
Pd: 0.5000 0.8665 0.5385

**Final energy**: -46.0 eV/cell



[3]
## CsIrAuO3 (PBE)

Data for a relaxed structure of CsIrAuO3.

Cell lengths 12.3307, 3.2786, 10.7594 Å; angles 90.00, 90.00, 90.00 degrees
Element x y z (fractional)
Cs: 0.2450 0.2500 0.1502
Cs: 0.2550 0.7500 0.6502
Cs: 0.7450 0.2500 0.3498
Cs: 0.7550 0.7500 0.8498
Ir: 0.0315 0.2500 0.3792
Ir: 0.4685 0.7500 0.8792
Ir: 0.5315 0.2500 0.1208
Ir: 0.9685 0.7500 0.6208
Au: 0.0180 0.2500 0.9108
Au: 0.4820 0.7500 0.4108
Au: 0.5180 0.2500 0.5892
Au: 0.9820 0.7500 0.0892
O: 0.0434 0.7500 0.7826
O: 0.0625 0.2500 0.5650
O: 0.1219 0.7500 0.3397
O: 0.3781 0.2500 0.8397
O: 0.4375 0.7500 0.0650
O: 0.4566 0.2500 0.2826
O: 0.5434 0.7500 0.7174
O: 0.5625 0.2500 0.9350
O: 0.6219 0.7500 0.1603
O: 0.8781 0.2500 0.6603
O: 0.9375 0.7500 0.4350
O: 0.9566 0.2500 0.2174

**Final energy**: -128.5 eV/cell